# 1
{"formula": "NpAg2I6", "functional": "PBE-GGA", "state": "relaxed", "m_tot_mub_per_cell": 3.00, "final_energy_ev_per_atom": -3.618, "volume_a3_per_atom": 43.2, "lattice": [[3.8744, 2.2369, 7.4807], [-3.8744, 2.2369, 7.4807], [0.0000, -4.4738, 7.4807]], "species": ["Np", "Ag", "Ag", "I", "I", "I", "I", "I", "I"], "fractional_positions": [[0.0000, 0.0000, 0.0000], [0.2642, 0.2642, 0.2642], [0.3994, 0.3994, 0.3994], [0.0657, 0.4004, 0.7773], [0.2407, 0.9016, 0.6156], [0.4004, 0.7773, 0.0657], [0.6156, 0.2407, 0.9016], [0.7773, 0.0657, 0.4004], [0.9016, 0.6156, 0.2407]]}


# 2
{"formula": "NpAgI2", "functional": "PBE-GGA", "state": "relaxed", "m_tot_mub_per_cell": 5.50, "final_energy_ev_per_atom": -4.535, "volume_a3_per_atom": 35.1, "lattice": [[2.0223, 1.1676, 9.9171], [-2.0223, 1.1676, 9.9171], [0.0000, -2.3352, 9.9171]], "species": ["Np", "Ag", "I", "I"], "fractional_positions": [[0.0000, 0.0000, 0.0000], [0.5000, 0.5000, 0.5000], [0.1031, 0.1031, 0.1031], [0.8969, 0.8969, 0.8969]]}


# 3
{"formula": "NpAgI5", "functional": "PBE-GGA", "state": "relaxed", "m_tot_mub_per_cell": 6.00, "final_energy_ev_per_atom": -3.946, "volume_a3_per_atom": 48.1, "lattice": [[8.1281, 0.0000, 0.0000], [-0.3247, 8.1265, 0.0000], [-4.0518, -3.9172, 10.1975]], "species": ["Np", "Np", "Ag", "Ag", "I", "I", "I", "I", "I", "I", "I", "I", "I", "I"], "fractional_positions": [[0.0000, 0.0000, 0.0000], [0.0000, 0.5000, 0.5000], [0.3790, 0.1301, 0.7501], [0.6210, 0.8699, 0.2499], [0.0696, 0.3227, 0.2489], [0.1989, 0.8318, 0.5217], [0.2372, 0.8185, 0.1602], [0.3103, 0.1782, 0.9787], [0.3429, 0.4210, 0.6575], [0.6571, 0.5790, 0.3425], [0.6897, 0.8218, 0.0213], [0.7628, 0.1815, 0.8398], [0.8011, 0.1682, 0.4783], [0.9304, 0.6773, 0.7511]]}


# 4
{"formula": "NpAgI6", "functional": "PBE-GGA", "state": "relaxed", "m_tot_mub_per_cell": 2.00, "final_energy_ev_per_atom": -3.641, "volume_a3_per_atom": 41.5, "relative_energy_mev_per_atom": 13, "lattice": [[7.5000, 0.0000, 0.0000], [-3.7442, 6.5004, 0.0000], [-3.7476, -2.1684, 6.8168]], "species": ["Np", "Ag", "I", "I", "I", "I", "I", "I"], "fractional_positions": [[0.0000, 0.0000, 0.0000], [0.0000, 0.5000, 0.5000], [0.1511, 0.9098, 0.7510], [0.1593, 0.7593, 0.2488], [0.4895, 0.3999, 0.2485], [0.5105, 0.6001, 0.7515], [0.8407, 0.2407, 0.7512], [0.8489, 0.0902, 0.2490]]}


Formation energy from raw total energies per entry: -0.5134, 0.1884, -0.5824, -0.5048 eV/atom